This record from Alexandria via LeMat-Bulk describes an optimized crystal structure of SrLiTi3. The functional is PBE-GGA.

a = 4.803 Å, b = 4.803 Å, c = 4.803 Å
α = 90.00°, β = 90.00°, γ = 90.00°
Positions (direct):
Sr 0.000 0.000 0.000
Li 0.500 0.500 0.500
Ti 0.000 0.500 0.500
Ti 0.500 0.000 0.500
Ti 0.500 0.500 0.000

Summary:
Calculated density: 3.6 g/cm³
DFT formation energy: 4.89 eV/f.u.
E above lowest polymorph: 0 meV/atom
V: 22.16 Å³ per atom

This record from Alexandria via LeMat-Bulk describes an optimized crystal structure of Sm2AgHPd6. The functional is PBE-GGA.

a = 5.615 Å, b = 5.615 Å, c = 7.077 Å
α = 111.86°, β = 111.86°, γ = 62.24°
Positions (direct):
Sm 0.248 0.248 0.312
Sm 0.752 0.752 0.688
Ag 0.000 0.000 0.500
H 0.500 0.500 0.000
Pd 0.174 0.687 0.141
Pd 0.296 0.296 0.773
Pd 0.313 0.826 0.859
Pd 0.687 0.174 0.141
Pd 0.704 0.704 0.227
Pd 0.826 0.313 0.859

Summary:
Calculated total energy: -5.21 eV/atom
Calculated density: 9.8 g/cm³
V: 17.78 Å³ per atom